The following is a GGA-PBE calculation of crystalline Pr4TlCdHg2 at its relaxed geometry, from Alexandria.

a b c (Å): 5.4956 5.4956 9.5501
angles (deg): 73.28 73.28 60.00
Closest atoms and distances in Å follow each position.
Positions (direct):
Pr: 0.8746 0.8746 0.3762  4 Hg 3.32-3.35, 3 Cd 3.36, 1 Tl 3.39
Pr: 0.6245 0.6245 0.1266  1 Cd 3.36, 3 Tl 3.37, 4 Hg 3.38-3.44
Pr: 0.3755 0.3755 0.8734  1 Cd 3.36, 3 Tl 3.37, 4 Hg 3.38-3.44
Pr: 0.1254 0.1254 0.6238  4 Hg 3.32-3.35, 3 Cd 3.36, 1 Tl 3.39
Cd: 0.5000 0.5000 0.5000  8 Pr 3.36
Hg: 0.7518 0.7518 0.7446  8 Pr 3.32-3.44
Hg: 0.2482 0.2482 0.2554  8 Pr 3.32-3.44
Tl: 0.0000 0.0000 0.0000  8 Pr 3.37-3.39

Size of the total moment ... 2.07 μB per formula unit
DFT total energy ... -3.28 eV/atom
DOS(E_F) ... 8.2 states/eV per cell
Formation energy from the elements ... -0.41 eV per atom

---

The following is a GGA-PBE calculation of crystalline Pr4Tl2CdHg at its relaxed geometry, from Alexandria.

a b c (Å): 5.5310 5.5310 9.5686
angles (deg): 73.20 73.20 60.00
Closest atoms and distances in Å follow each position.
Positions (direct):
Pr: 0.1265 0.1265 0.6204  3 Hg 3.37, 4 Tl 3.40-3.42, 1 Cd 3.42
Pr: 0.8735 0.8735 0.3796  3 Hg 3.37, 4 Tl 3.40-3.42, 1 Cd 3.42
Pr: 0.3766 0.3766 0.8701  1 Hg 3.34, 4 Tl 3.35-3.37, 3 Cd 3.40
Pr: 0.6234 0.6234 0.1299  1 Hg 3.34, 4 Tl 3.35-3.37, 3 Cd 3.40
Tl: 0.7478 0.7478 0.7565  8 Pr 3.35-3.42
Tl: 0.2522 0.2522 0.2435  8 Pr 3.35-3.42
Cd: 0.0000 0.0000 0.0000  8 Pr 3.40-3.42
Hg: 0.5000 0.5000 0.5000  8 Pr 3.34-3.37

Size of the total moment ... 1.55 μB per formula unit
DFT total energy ... -3.53 eV/atom
DOS(E_F) ... 8.6 states/eV per cell
Formation energy from the elements ... -0.40 eV per atom

---

The following is a GGA-PBE calculation of crystalline PrTm2CdHg4 at its relaxed geometry, from Alexandria.

a b c (Å): 5.0672 5.0672 9.6158
angles (deg): 74.72 74.72 60.00
Closest atoms and distances in Å follow each position.
Positions (direct):
Cd: 0.5000 0.5000 0.5000  8 Hg 3.15-3.22
Hg: 0.6173 0.6173 0.1481  3 Tm 3.18, 1 Cd 3.22, 3 Pr 3.22
Hg: 0.8756 0.8756 0.3734  4 Tm 3.04-3.15, 3 Cd 3.15
Hg: 0.3827 0.3827 0.8519  3 Tm 3.18, 1 Cd 3.22, 3 Pr 3.22
Hg: 0.1244 0.1244 0.6266  4 Tm 3.04-3.15, 3 Cd 3.15
Tm: 0.2390 0.2390 0.2830  7 Hg 3.04-3.18
Tm: 0.7610 0.7610 0.7170  7 Hg 3.04-3.18
Pr: 0.0000 0.0000 0.0000  8 Hg 3.22-3.42

Size of the total moment ... 0.00 μB per formula unit
DFT total energy ... -2.37 eV/atom
DOS(E_F) ... 4.9 states/eV per cell
Formation energy from the elements ... -0.39 eV per atom

---

The following is a GGA-PBE calculation of crystalline PrYCdHg at its relaxed geometry, from Alexandria.

a b c (Å): 3.7643 3.7643 7.7875
angles (deg): 90.00 90.00 90.00
Closest atoms and distances in Å follow each position.
Positions (direct):
Y: 0.5000 0.5000 0.6026  4 Hg 3.18, 4 Cd 3.24
Pr: 0.5000 0.5000 0.1082  4 Cd 3.39, 4 Hg 3.39, 4 Pr 3.76
Hg: 0.0000 0.0000 0.3782  4 Y 3.18, 4 Pr 3.39
Cd: 0.0000 0.0000 0.8389  4 Y 3.24, 4 Pr 3.39, 1 Hg 3.59

Size of the total moment ... 0.60 μB per formula unit
DFT total energy ... -3.52 eV/atom
DOS(E_F) ... 4.1 states/eV per cell
Energy relative to the lowest polymorph listed for this composition ... 0.0 meV/atom
Formation energy from the elements ... -0.41 eV per atom

---

The following is a GGA-PBE calculation of crystalline PrYCdHg at its relaxed geometry, from Alexandria.

a b c (Å): 5.3865 5.3865 5.3865
angles (deg): 60.00 60.00 60.00
Closest atoms and distances in Å follow each position.
Positions (direct):
Hg: 0.5000 0.5000 0.5000  4 Y 3.30, 4 Pr 3.30
Y: 0.7500 0.7500 0.7500  4 Hg 3.30, 4 Cd 3.30
Pr: 0.2500 0.2500 0.2500  4 Hg 3.30, 4 Cd 3.30
Cd: 0.0000 0.0000 0.0000  4 Pr 3.30, 4 Y 3.30

Size of the total moment ... 0.77 μB per formula unit
DFT total energy ... -3.52 eV/atom
DOS(E_F) ... 3.9 states/eV per cell
Energy relative to the lowest polymorph listed for this composition ... 7.6 meV/atom
Formation energy from the elements ... -0.40 eV per atom

---

The following is a GGA-PBE calculation of crystalline PrZnCdHg at its relaxed geometry, from Alexandria.

a b c (Å): 5.0983 5.0983 5.0983
angles (deg): 60.00 60.00 60.00
Closest atoms and distances in Å follow each position.
Positions (direct):
Hg: 0.5000 0.5000 0.5000  4 Pr 3.12, 4 Cd 3.12
Zn: 0.0000 0.0000 0.0000  4 Pr 3.12, 4 Cd 3.12
Cd: 0.7500 0.7500 0.7500  4 Hg 3.12, 4 Zn 3.12
Pr: 0.2500 0.2500 0.2500  4 Zn 3.12, 4 Hg 3.12

Size of the total moment ... 0.00 μB per formula unit
DFT total energy ... -2.16 eV/atom
DOS(E_F) ... 1.7 states/eV per cell
Formation energy from the elements ... -0.34 eV per atom

---

The following is a GGA-PBE calculation of crystalline CdHg2Pt at its relaxed geometry, from Alexandria.

a b c (Å): 4.3206 4.2760 4.2760
angles (deg): 90.00 90.00 90.00
Closest atoms and distances in Å follow each position.
Positions (direct):
Hg: 0.0000 0.0000 0.0000  4 Hg 3.02, 4 Cd 3.04, 4 Pt 3.04
Hg: 0.0000 0.5000 0.5000  4 Hg 3.02, 4 Cd 3.04, 4 Pt 3.04
Cd: 0.5000 0.0000 0.5000  4 Pt 3.02, 8 Hg 3.04
Pt: 0.5000 0.5000 0.0000  4 Cd 3.02, 8 Hg 3.04

Size of the total moment ... 0.00 μB per formula unit
DFT total energy ... -1.84 eV/atom
DOS(E_F) ... 1.6 states/eV per cell
Formation energy from the elements ... 0.05 eV per atom

---

The following is a GGA-PBE calculation of crystalline CdHg2Pt at its relaxed geometry, from Alexandria.

a b c (Å): 3.0448 3.0448 8.8852
angles (deg): 90.00 90.00 90.00
Closest atoms and distances in Å follow each position.
Positions (direct):
Pt: 0.5000 0.5000 0.2500  8 Hg 2.94, 4 Pt 3.04
Hg: 0.0000 0.0000 0.0250  4 Pt 2.94, 4 Hg 3.04, 4 Cd 3.26
Hg: 0.0000 0.0000 0.4750  4 Pt 2.94, 4 Hg 3.04, 4 Cd 3.26
Cd: 0.5000 0.5000 0.7500  4 Cd 3.04, 8 Hg 3.26

Size of the total moment ... 0.00 μB per formula unit
DFT total energy ... -1.80 eV/atom
DOS(E_F) ... 1.2 states/eV per cell
Formation energy from the elements ... 0.09 eV per atom